Density functional theory data (PBE) for crystalline Re2AsRu at its relaxed geometry.

abc: 2.9612 4.4267 8.9743
angles: 90.00 90.00 90.00
Space group Immm (No. 71)
Inequivalent atoms, fractional coordinates:
Re: 0.0000 0.0000 0.2219 [4 per cell]
As: 0.0000 0.5000 0.5000 [2 per cell]
Ru: 0.0000 0.5000 0.0000 [2 per cell]

Summary:
formation energy: 0.194 eV per atom
total energy: -9.511 eV per atom

---

Density functional theory data (PBE) for crystalline Re2AsRu at its relaxed geometry.

abc: 2.9194 2.9194 6.8339
angles: 90.00 90.00 90.00
Space group P4mm (No. 99)
Inequivalent atoms, fractional coordinates:
Re: 0.0000 0.0000 0.0000 [1 per cell]
Re: 0.5000 0.5000 0.2592 [1 per cell]
As: 0.5000 0.5000 0.7593 [1 per cell]
Ru: 0.0000 0.0000 0.5331 [1 per cell]

Summary:
formation energy: 0.096 eV per atom
total energy: -9.609 eV per atom

---

Density functional theory data (PBE) for crystalline Re2AsRu at its relaxed geometry.

abc: 5.6249 5.6249 10.8786
angles: 90.00 90.00 90.00
Space group I-42d (No. 122)
Inequivalent atoms, fractional coordinates:
Re: 0.2434 0.2500 0.1250 [8 per cell]
As: 0.0000 0.0000 0.5000 [4 per cell]
Ru: 0.0000 0.0000 0.0000 [4 per cell]

Summary:
formation energy: 1.063 eV per atom
total energy: -8.642 eV per atom